Density functional theory data (PBE-GGA) for an optimized crystal structure of CdTe.

Properties
- spin magnetization (μB per formula unit) = 0.0
- ΔE_f (raw) (meV/atom) = -377
- mass density (g/cm3) = 4.50
- total DFT energy (no corrections) (eV per cell) = -28.87

a = 11.3433 Å, b = 11.3433 Å, c = 4.7713 Å
α = 90.00°, β = 90.00°, γ = 120.00°
Space group P6_3/m (No. 176)
Inequivalent atoms, fractional coordinates:
1 Cd 0.0768 0.4160 0.2500
2 Te 0.0867 0.6790 0.2500

Density functional theory data (PBE-GGA) for an optimized crystal structure of Pr6Si2AsSe3.

Properties
- spin magnetization (μB per formula unit) = 0.0
- ΔE_f (raw) (meV/atom) = -1453
- mass density (g/cm3) = 5.95
- total DFT energy (no corrections) (eV per cell) = -144.13

a = 18.782 Å, b = 4.295 Å, c = 8.635 Å
α = 90.00°, β = 103.52°, γ = 90.00°
Space group C2/m (No. 12)
Inequivalent atoms, fractional coordinates:
1 Pr 0.004 0.000 0.246
2 Pr 0.165 0.500 0.092
3 Pr 0.169 0.500 0.577
4 Si 0.166 0.000 0.333
5 As 0.000 0.500 0.000
6 Se 0.000 0.500 0.500
7 Se 0.166 0.000 0.834

Density functional theory data (PBE-GGA) for an optimized crystal structure of Sm2TmRu.

Properties
- spin magnetization (μB per formula unit) = 0.0
- energy of formation from the pure elements (eV per atom) = 0.181
- polymorph energy (0 for the lowest one) (eV per atom) = 0.4513
- mass density (g/cm3) = 8.18
- total DFT energy (no corrections) (eV per cell) = -67.39

a = 3.5445 Å, b = 3.5445 Å, c = 31.9379 Å
α = 90.00°, β = 90.00°, γ = 120.00°
Space group R-3m (No. 166, hexagonal axes)
Inequivalent atoms, fractional coordinates:
1 Sm 0.0000 0.0000 0.1060
2 Tm 0.0000 0.0000 0.0000
3 Ru 0.0000 0.0000 0.5000